(1)
Computed, not measured: an optimized crystal structure of BaZrBr at the PBE level of DFT.

Summary:
Raw formation energy in eV per atom: 0.63
Symmetry: F-43m
Polymorph energy (0 for the lowest one) in meV per atom: 945

abc: 5.879 5.879 5.879
angles: 60.00 60.00 60.00
Each line ends with the local moment (μB).
Element x y z (fractional)
1 Br 0.000 0.000 0.000  0.02
2 Ba 0.750 0.750 0.750  0.21
3 Zr 0.500 0.500 0.500  1.73



(2)
Computed, not measured: an optimized crystal structure of BaZrBr at the PBE level of DFT.

Summary:
Raw formation energy in eV per atom: 0.08
Symmetry: P-6m2
Polymorph energy (0 for the lowest one) in meV per atom: 390

abc: 5.322 5.322 3.852
angles: 90.00 90.00 120.00
Each line ends with the local moment (μB).
Element x y z (fractional)
1 Br 0.667 0.333 0.501  0.01
2 Ba 0.000 0.000 0.000  0.23
3 Zr 0.333 0.667 0.500  1.15



(3)
Computed, not measured: an optimized crystal structure of BaZrBr at the PBE level of DFT.

Summary:
Raw formation energy in eV per atom: -0.20
Symmetry: I4mm
Polymorph energy (0 for the lowest one) in meV per atom: 112

abc: 7.591 7.591 7.591
angles: 152.91 152.91 38.69
Each line ends with the local moment (μB).
Element x y z (fractional)
1 Br 0.309 0.309 0.000  0.00
2 Ba 0.998 0.998 0.000  0.08
3 Zr 0.692 0.692 0.000  0.48



(4)
Computed, not measured: an optimized crystal structure of BaZrBr at the PBE level of DFT.

Summary:
Raw formation energy in eV per atom: -0.31
Symmetry: P3m1
Polymorph energy (0 for the lowest one) in meV per atom: 0

abc: 3.682 3.682 7.895
angles: 90.00 90.00 120.00
Each line ends with the local moment (μB).
Element x y z (fractional)
1 Br 0.667 0.333 0.383  0.00
2 Ba 0.000 0.000 0.993  0.08
3 Zr 0.333 0.667 0.624  0.15



(5)
Computed, not measured: an optimized crystal structure of BaZrBr4 at the PBE level of DFT.

Summary:
Raw formation energy in eV per atom: -0.08
Symmetry: F-43m

abc: 6.483 6.483 6.483
angles: 60.00 60.00 60.00
Each line ends with the local moment (μB).
Element x y z (fractional)
1 Ba 0.000 0.000 0.000  0.11
2 Zr 0.750 0.750 0.750  1.66
3 Br 0.873 0.376 0.376  -0.17
4 Br 0.376 0.376 0.873  -0.17
5 Br 0.376 0.873 0.376  -0.17
6 Br 0.376 0.376 0.376  -0.17



(6)
Computed, not measured: an optimized crystal structure of BaZrBr6 at the PBE level of DFT.

Summary:
Raw formation energy in eV per atom: -1.65
Symmetry: C2/m

abc: 7.248 7.248 7.149
angles: 97.99 97.99 116.60
Element x y z (fractional)
1 Ba 0.000 0.000 0.000
2 Zr 0.500 0.500 0.500
3 Br 0.246 0.246 0.690
4 Br 0.472 0.164 0.266
5 Br 0.754 0.754 0.310
6 Br 0.836 0.528 0.734
7 Br 0.528 0.836 0.734
8 Br 0.164 0.472 0.266



(7)
Computed, not measured: an optimized crystal structure of BaZrBr3 at the PBE level of DFT.

Summary:
Raw formation energy in eV per atom: -0.43
Symmetry: Pm-3m

abc: 6.216 6.216 6.216
angles: 90.00 90.00 90.00
Each line ends with the local moment (μB).
Element x y z (fractional)
1 Br 0.000 0.500 0.000  0.00
2 Br 0.000 0.000 0.500  0.00
3 Br 0.500 0.000 0.000  0.00
4 Ba 0.000 0.000 0.000  0.00
5 Zr 0.500 0.500 0.500  1.83



(8)
Computed, not measured: an optimized crystal structure of Ba3ZrBr at the PBE level of DFT.

Summary:
Raw formation energy in eV per atom: 0.03
Symmetry: Pm-3m
Polymorph energy (0 for the lowest one) in meV per atom: 0

abc: 6.265 6.265 6.265
angles: 90.00 90.00 90.00
Each line ends with the local moment (μB).
Element x y z (fractional)
1 Br 0.000 0.000 0.000  0.01
2 Ba 0.000 0.500 0.000  0.14
3 Ba 0.000 0.000 0.500  0.17
4 Ba 0.500 0.000 0.000  0.15
5 Zr 0.500 0.500 0.500  1.49